Density functional theory data (PBE+U) for an optimized crystal structure of Ba3DyMo2O9.

```
Ba3DyMo2O9
1.0
5.981 0.000 0.000
-2.991 5.180 0.000
0.000 0.000 7.268
Ba Dy Mo O
3 1 2 9
Direct
0.000 0.000 0.000
0.333 0.667 0.671
0.667 0.333 0.329
0.000 0.000 0.500
0.333 0.667 0.162
0.667 0.333 0.838
0.000 0.500 0.000
0.174 0.349 0.318
0.174 0.826 0.318
0.349 0.174 0.682
0.500 0.000 0.000
0.500 0.500 0.000
0.651 0.826 0.318
0.826 0.174 0.682
0.826 0.651 0.682
```

Computed properties:
Calculated volume ... 15.0 A^3/atom
Uncorrected energy ... -7.146 eV/atom
SG ... P-3m1, No. 164
Mass density ... 6.71 g/cm³
Density of states at the Fermi level ... 0.183 states/eV/atom